No. 1
## Mg3CuCl (PBE-GGA)

Data for a relaxed Mg3CuCl crystal.

```
Mg3CuCl
1.0
4.990 0.000 0.000
0.000 4.990 0.000
0.000 0.000 4.990
Mg Cu Cl
3 1 1
direct
0.000 0.000 0.500 Mg
0.000 0.500 0.000 Mg
0.500 0.000 0.000 Mg
0.000 0.000 0.000 Cu
0.500 0.500 0.500 Cl
```

Output
Offset from the most stable computed form in meV per atom: 0
ΔE_f (raw) in eV/f.u.: -0.66
Space group: No. 221
Total DFT energy (no corrections) in eV per atom: -2.28

***

No. 2
## MgCuCl2 (PBE-GGA)

Data for a relaxed MgCuCl2 crystal.

```
MgCuCl2
1.0
3.422 0.000 0.000
0.000 6.630 0.000
0.000 0.000 7.731
Mg Cu Cl
2 2 4
direct
0.000 0.000 0.000 Mg
0.500 0.500 0.000 Mg
0.000 0.000 0.500 Cu
0.500 0.500 0.500 Cu
0.000 0.500 0.283 Cl
0.000 0.500 0.717 Cl
0.500 0.000 0.283 Cl
0.500 0.000 0.717 Cl
```

Output
Offset from the most stable computed form in meV per atom: 337
ΔE_f (raw) in eV/f.u.: -1.88
Space group: No. 65
Total DFT energy (no corrections) in eV per atom: -2.82

***

No. 3
## MgCu3Cl8 (PBE-GGA)

Data for a relaxed MgCu3Cl8 crystal.

```
MgCu3Cl8
1.0
6.954 -3.389 0.000
6.954 3.389 0.000
-3.652 0.000 6.242
Mg Cu Cl
1 3 8
direct
0.000 0.000 0.000 Mg
0.000 0.500 0.000 Cu
0.500 0.000 0.000 Cu
0.500 0.500 0.000 Cu
0.228 0.228 0.200 Cl
0.245 0.245 0.782 Cl
0.262 0.733 0.771 Cl
0.267 0.738 0.229 Cl
0.733 0.262 0.771 Cl
0.738 0.267 0.229 Cl
0.755 0.755 0.218 Cl
0.772 0.772 0.800 Cl
```

Output
ΔE_f (raw) in eV/f.u.: -9.77
Space group: No. 12
Total DFT energy (no corrections) in eV per atom: -3.20

***

No. 4
## Mg2CuCl6 (PBE-GGA)

Data for a relaxed Mg2CuCl6 crystal.

```
Mg2CuCl6
1.0
6.931 -1.834 0.000
6.931 1.834 0.000
-3.483 0.000 8.643
Mg Cu Cl
2 1 6
direct
0.169 0.169 0.326 Mg
0.831 0.831 0.674 Mg
0.500 0.500 0.000 Cu
0.132 0.132 0.046 Cl
0.196 0.196 0.610 Cl
0.466 0.466 0.732 Cl
0.534 0.534 0.268 Cl
0.804 0.804 0.390 Cl
0.868 0.868 0.954 Cl
```

Output
ΔE_f (raw) in eV/f.u.: -12.33
Space group: No. 12
Total DFT energy (no corrections) in eV per atom: -3.41

***

No. 5
## Mg3Cu5Cl12 (PBE-GGA)

Data for a relaxed Mg3Cu5Cl12 crystal.

```
Mg3Cu5Cl12
1.0
-7.453 7.453 7.453
7.453 -7.453 7.453
7.453 7.453 -7.453
Mg Cu Cl
12 20 48
direct
0.125 0.250 0.375 Mg
0.125 0.375 0.750 Mg
0.250 0.375 0.125 Mg
0.250 0.875 0.625 Mg
0.375 0.125 0.250 Mg
0.375 0.750 0.125 Mg
0.625 0.250 0.875 Mg
0.625 0.875 0.750 Mg
0.750 0.125 0.375 Mg
0.750 0.625 0.875 Mg
0.875 0.625 0.250 Mg
0.875 0.750 0.625 Mg
0.000 0.000 0.000 Cu
0.000 0.000 0.500 Cu
0.000 0.500 0.000 Cu
0.000 0.500 0.500 Cu
0.125 0.750 0.875 Cu
0.125 0.875 0.250 Cu
0.250 0.125 0.875 Cu
0.250 0.625 0.375 Cu
0.375 0.250 0.625 Cu
0.375 0.625 0.750 Cu
0.500 0.000 0.000 Cu
0.500 0.000 0.500 Cu
0.500 0.500 0.000 Cu
0.500 0.500 0.500 Cu
0.625 0.375 0.250 Cu
0.625 0.750 0.375 Cu
0.750 0.375 0.625 Cu
0.750 0.875 0.125 Cu
0.875 0.125 0.750 Cu
0.875 0.250 0.125 Cu
0.038 0.215 0.130 Cl
0.038 0.323 0.907 Cl
0.084 0.715 0.677 Cl
0.084 0.870 0.407 Cl
0.093 0.630 0.416 Cl
0.093 0.962 0.677 Cl
0.130 0.038 0.215 Cl
0.130 0.593 0.916 Cl
0.177 0.215 0.584 Cl
0.177 0.462 0.593 Cl
0.215 0.130 0.038 Cl
0.215 0.584 0.177 Cl
0.285 0.323 0.916 Cl
0.285 0.462 0.370 Cl
0.323 0.907 0.038 Cl
0.323 0.916 0.285 Cl
0.370 0.285 0.462 Cl
0.370 0.584 0.907 Cl
0.407 0.084 0.870 Cl
0.407 0.823 0.538 Cl
0.416 0.093 0.630 Cl
0.416 0.823 0.785 Cl
0.462 0.370 0.285 Cl
0.462 0.593 0.177 Cl
0.538 0.407 0.823 Cl
0.538 0.630 0.715 Cl
0.584 0.177 0.215 Cl
0.584 0.907 0.370 Cl
0.593 0.177 0.462 Cl
0.593 0.916 0.130 Cl
0.630 0.416 0.093 Cl
0.630 0.715 0.538 Cl
0.677 0.084 0.715 Cl
0.677 0.093 0.962 Cl
0.715 0.538 0.630 Cl
0.715 0.677 0.084 Cl
0.785 0.416 0.823 Cl
0.785 0.870 0.962 Cl
0.823 0.538 0.407 Cl
0.823 0.785 0.416 Cl
0.870 0.407 0.084 Cl
0.870 0.962 0.785 Cl
0.907 0.038 0.323 Cl
0.907 0.370 0.584 Cl
0.916 0.130 0.593 Cl
0.916 0.285 0.323 Cl
0.962 0.677 0.093 Cl
0.962 0.785 0.870 Cl
```

Output
ΔE_f (raw) in eV/f.u.: -18.07
Space group: No. 230
Total DFT energy (no corrections) in eV per atom: -3.27

***

No. 6
## MgCu2Cl5 (PBE-GGA)

Data for a relaxed MgCu2Cl5 crystal.

```
MgCu2Cl5
1.0
10.429 0.000 0.000
0.000 7.420 0.000
-3.135 0.000 5.717
Mg Cu Cl
2 4 10
direct
0.000 0.000 0.000 Mg
0.500 0.500 0.000 Mg
0.353 0.267 0.501 Cu
0.353 0.733 0.501 Cu
0.853 0.233 0.501 Cu
0.853 0.767 0.501 Cu
0.044 0.273 0.865 Cl
0.044 0.727 0.865 Cl
0.246 0.500 0.597 Cl
0.291 0.000 0.310 Cl
0.419 0.500 0.282 Cl
0.544 0.227 0.865 Cl
0.544 0.773 0.865 Cl
0.746 0.000 0.597 Cl
0.791 0.500 0.310 Cl
0.919 0.000 0.282 Cl
```

Output
ΔE_f (raw) in eV/f.u.: -7.39
Space group: No. 8
Total DFT energy (no corrections) in eV per atom: -3.30

***

No. 7
## MgCuCl2 (PBE-GGA)

Data for a relaxed MgCuCl2 crystal.

```
MgCuCl2
1.0
3.119 0.000 0.000
0.000 3.119 0.000
0.000 0.000 10.587
Mg Cu Cl
1 1 2
direct
0.000 0.000 0.000 Mg
0.000 0.000 0.500 Cu
0.500 0.500 0.143 Cl
0.500 0.500 0.857 Cl
```

Output
Offset from the most stable computed form in meV per atom: 279
ΔE_f (raw) in eV/f.u.: -2.11
Space group: No. 123
Total DFT energy (no corrections) in eV per atom: -2.87

***

No. 8
## MgCu3Cl (PBE-GGA)

Data for a relaxed MgCu3Cl crystal.

```
MgCu3Cl
1.0
4.558 0.000 0.000
0.000 4.558 0.000
0.000 0.000 4.558
Mg Cu Cl
1 3 1
direct
0.000 0.000 0.000 Mg
0.000 0.500 0.500 Cu
0.500 0.000 0.500 Cu
0.500 0.500 0.000 Cu
0.500 0.500 0.500 Cl
```

Output
Offset from the most stable computed form in meV per atom: 0
ΔE_f (raw) in eV/f.u.: 3.32
Space group: No. 221
Total DFT energy (no corrections) in eV per atom: -2.48

***

No. 9
## MgCuCl2 (PBE-GGA)

Data for a relaxed MgCuCl2 crystal.

```
MgCuCl2
1.0
4.653 0.000 0.000
0.000 4.653 0.000
0.000 0.000 3.374
Mg Cu Cl
1 1 2
direct
0.000 0.000 0.000 Mg
0.500 0.500 0.000 Cu
0.000 0.500 0.500 Cl
0.500 0.000 0.500 Cl
```

Output
Offset from the most stable computed form in meV per atom: 490
ΔE_f (raw) in eV/f.u.: -1.26
Space group: No. 123
Total DFT energy (no corrections) in eV per atom: -2.66

***

No. 10
## MgCuCl2 (PBE-GGA)

Data for a relaxed MgCuCl2 crystal.

```
MgCuCl2
1.0
6.636 0.000 0.000
0.000 6.636 0.000
0.000 0.000 6.636
Mg Cu Cl
4 4 8
direct
0.000 0.000 0.000 Mg
0.000 0.500 0.500 Mg
0.500 0.000 0.500 Mg
0.500 0.500 0.000 Mg
0.000 0.000 0.500 Cu
0.000 0.500 0.000 Cu
0.500 0.000 0.000 Cu
0.500 0.500 0.500 Cu
0.250 0.250 0.250 Cl
0.250 0.250 0.750 Cl
0.250 0.750 0.250 Cl
0.250 0.750 0.750 Cl
0.750 0.250 0.250 Cl
0.750 0.250 0.750 Cl
0.750 0.750 0.250 Cl
0.750 0.750 0.750 Cl
```

Output
Offset from the most stable computed form in meV per atom: 453
ΔE_f (raw) in eV/f.u.: -1.41
Space group: No. 225
Total DFT energy (no corrections) in eV per atom: -2.70

***

No. 11
## MgCuCl2 (PBE-GGA)

Data for a relaxed MgCuCl2 crystal.

```
MgCuCl2
1.0
3.337 0.000 0.000
0.000 7.036 0.000
0.000 0.000 8.872
Mg Cu Cl
2 2 4
direct
0.000 0.000 0.000 Mg
0.500 0.500 0.500 Mg
0.000 0.500 0.753 Cu
0.500 0.000 0.253 Cu
0.000 0.000 0.429 Cl
0.000 0.500 0.311 Cl
0.500 0.000 0.811 Cl
0.500 0.500 0.929 Cl
```

Output
Offset from the most stable computed form in meV per atom: 185
ΔE_f (raw) in eV/f.u.: -2.48
Space group: No. 44
Total DFT energy (no corrections) in eV per atom: -2.97

***

No. 12
## MgCuCl2 (PBE-GGA)

Data for a relaxed MgCuCl2 crystal.

```
MgCuCl2
1.0
3.441 0.000 0.000
-1.720 2.980 0.000
0.000 0.000 31.632
Mg Cu Cl
3 3 6
direct
0.000 0.000 0.000 Mg
0.333 0.667 0.667 Mg
0.667 0.333 0.333 Mg
0.000 0.000 0.500 Cu
0.333 0.667 0.167 Cu
0.667 0.333 0.833 Cu
0.000 0.000 0.287 Cl
0.000 0.000 0.713 Cl
0.333 0.667 0.379 Cl
0.333 0.667 0.954 Cl
0.667 0.333 0.046 Cl
0.667 0.333 0.621 Cl
```

Output
Offset from the most stable computed form in meV per atom: 0
ΔE_f (raw) in eV/f.u.: -3.22
Space group: No. 166
Total DFT energy (no corrections) in eV per atom: -3.15

***

Question: total DFT energy (no corrections) of number 2 (MgCuCl2)?
Answer: -2.82 eV per atom

***

Question: Which of these has the lowest ΔE_f (raw)?
Answer: Mg3Cu5Cl12